The following is a DFT calculation (PBE) of a geometry-optimized Dy2ZnRe structure.

Unit cell a=3.3535 b=3.3535 c=31.1353 alpha=90.00 beta=90.00 gamma=120.00
Space group R-3m (No. 166, hexagonal axes)
One atom of each set of equivalent atoms:
Dy (0.0000, 0.0000, 0.0998) (multiplicity 6)
Zn (0.0000, 0.0000, 0.0000) (multiplicity 3)
Re (0.0000, 0.0000, 0.5000) (multiplicity 3)

Calculated values
Energy of formation from the pure elements, eV per atom: 0.46
Calculated total energy, hartree per atom: -0.19360
Mass density, g/cm³: 9.5

The following is a DFT calculation (PBE) of a geometry-optimized DyZr2Re structure.

Unit cell a=3.354 b=3.354 c=7.989 alpha=90.00 beta=90.00 gamma=90.00
Space group P4/mmm (No. 123)
One atom of each set of equivalent atoms:
Dy (0.000, 0.000, 0.000) (multiplicity 1)
Zr (0.500, 0.500, 0.303) (multiplicity 2)
Re (0.000, 0.000, 0.500) (multiplicity 1)

Calculated values
Energy of formation from the pure elements, eV per atom: -0.02
Calculated total energy, hartree per atom: -0.31450
Mass density, g/cm³: 9.8

The following is a DFT calculation (PBE) of a geometry-optimized DyZrRe4 structure.

Unit cell a=7.585 b=7.585 c=7.585 alpha=90.00 beta=90.00 gamma=90.00
Space group F-43m (No. 216)
One atom of each set of equivalent atoms:
Dy (0.000, 0.000, 0.000) (multiplicity 4)
Zr (0.250, 0.250, 0.250) (multiplicity 4)
Re (0.125, 0.125, 0.625) (multiplicity 16)

Calculated values
Energy of formation from the pure elements, eV per atom: -0.23
Calculated total energy, hartree per atom: -0.39395
Mass density, g/cm³: 15.2

The following is a DFT calculation (PBE) of a geometry-optimized Dy4Rh3 structure.

Unit cell a=4.8087 b=4.8087 c=23.7405 alpha=90.00 beta=90.00 gamma=120.00
Space group R-3m (No. 166, hexagonal axes)
One atom of each set of equivalent atoms:
Dy (0.0000, 0.0000, 0.1242) (multiplicity 6)
Dy (0.0000, 0.0000, 0.3749) (multiplicity 6)
Rh (0.0000, 0.0000, 0.2494) (multiplicity 6)
Rh (0.0000, 0.0000, 0.5000) (multiplicity 3)

Calculated values
Energy of formation from the pure elements, eV per atom: -0.79
Calculated total energy, hartree per atom: -0.24137
Mass density, g/cm³: 10.0